# MgZrAu

A relaxed MgZrAu crystal (PBE, Alexandria).

Properties
ρ: 7.6 Mg/m³
Magnetic moment: 0.60 μB/f.u.
Space-group type: F-43m (216)

Unit cell a=4.5915 b=4.5915 c=4.5915 alpha=60.00 beta=60.00 gamma=60.00
Last column: nearest neighbours and their distance in Å.
Element x y z (fractional)
Zr 0.5000 0.5000 0.5000  4 Au 2.81
Mg 0.0000 0.0000 0.0000  4 Au 2.81
Au 0.7500 0.7500 0.7500  4 Zr 2.81, 4 Mg 2.81

# LaPmGaGe

A relaxed LaPmGaGe crystal (PBE, Alexandria).

Properties
ρ: 6.9 Mg/m³
Magnetic moment: 0.00 μB/f.u.
Space-group type: F-43m (216)
Energy above the most stable polymorph in this dataset: 0.165 eV per atom

Unit cell a=5.2548 b=5.2548 c=5.2548 alpha=60.00 beta=60.00 gamma=60.00
Last column: nearest neighbours and their distance in Å.
Element x y z (fractional)
Ga 0.2500 0.2500 0.2500  4 La 3.22, 4 Pm 3.22
Ge 0.7500 0.7500 0.7500  4 La 3.22, 4 Pm 3.22
La 0.5000 0.5000 0.5000  4 Ge 3.22, 4 Ga 3.22
Pm 0.0000 0.0000 0.0000  4 Ge 3.22, 4 Ga 3.22

What are the formation energy values for these records? In order: -0.26 -0.59 eV/atom.